#A
## ZnSF2 (PBE-GGA)

Data for a relaxed ZnSF2 crystal.

Unit cell a=5.9968 b=5.9968 c=6.1495 alpha=60.82 beta=60.82 gamma=90.00
Each line ends with the local moment (μB).
Element x y z (fractional)
Zn (0.0000, 0.0000, 0.0000)  0.00
Zn (0.7500, 0.2500, 0.5000)  0.00
S (0.5000, 0.5000, 0.0000)  1.17
S (0.2500, 0.7500, 0.5000)  1.17
F (0.7971, 0.1250, 0.2500)  0.03
F (0.9529, 0.6250, 0.2500)  0.03
F (0.3750, 0.2029, 0.7500)  0.03
F (0.8750, 0.0471, 0.7500)  0.03

Output
DOS at the Fermi energy in states/eV/f.u.: 0.9

***

#B
## ZnSF2 (PBE-GGA)

Data for a relaxed ZnSF2 crystal.

Unit cell a=9.5728 b=9.5728 c=9.5728 alpha=17.85 beta=17.85 gamma=17.85
Each line ends with the local moment (μB).
Element x y z (fractional)
Zn (0.5000, 0.5000, 0.5000)  0.00
S (0.0000, 0.0000, 0.0000)  0.25
F (0.8721, 0.8721, 0.8721)  0.00
F (0.1279, 0.1279, 0.1279)  0.00

Output
DOS at the Fermi energy in states/eV/f.u.: 1.2

***

#C
## ZnSF2 (PBE-GGA)

Data for a relaxed ZnSF2 crystal.

Unit cell a=4.2160 b=4.2160 c=4.2160 alpha=60.00 beta=60.00 gamma=60.00
Each line ends with the local moment (μB).
Element x y z (fractional)
Zn (0.5000, 0.5000, 0.5000)  -0.05
S (0.0000, 0.0000, 0.0000)  1.07
F (0.2500, 0.2500, 0.2500)  0.23
F (0.7500, 0.7500, 0.7500)  0.23

Output
DOS at the Fermi energy in states/eV/f.u.: 0.8

***

Name the least stable of them. #C.

***

#A
## ZnS3F (PBE-GGA)

Data for a relaxed ZnS3F crystal.

Unit cell a=4.3899 b=4.3899 c=4.3899 alpha=90.00 beta=90.00 gamma=90.00
Element x y z (fractional)
Zn (0.5000, 0.5000, 0.5000)
S (0.0000, 0.5000, 0.0000)
S (0.0000, 0.0000, 0.5000)
S (0.5000, 0.0000, 0.0000)
F (0.0000, 0.0000, 0.0000)

Output
DOS at the Fermi energy in states/eV/f.u.: 4.1

***

#B
## ZnS3F (PBE-GGA)

Data for a relaxed ZnS3F crystal.

Unit cell a=4.5720 b=4.5720 c=4.5720 alpha=90.00 beta=90.00 gamma=90.00
Element x y z (fractional)
Zn (0.0000, 0.0000, 0.0000)
S (0.0000, 0.5000, 0.0000)
S (0.0000, 0.0000, 0.5000)
S (0.5000, 0.0000, 0.0000)
F (0.5000, 0.5000, 0.5000)

Output
DOS at the Fermi energy in states/eV/f.u.: 4.5

***

Name the least stable of them. #A.

***

#A
## ZrSF3 (PBE-GGA)

Data for a relaxed ZrSF3 crystal.

Unit cell a=4.3687 b=4.3687 c=4.3687 alpha=90.00 beta=90.00 gamma=90.00
Each line ends with the local moment (μB).
Element x y z (fractional)
S (0.0000, 0.0000, 0.0000)  0.07
Zr (0.5000, 0.5000, 0.5000)  -1.49
F (0.0000, 0.5000, 0.0000)  -0.01
F (0.0000, 0.0000, 0.5000)  -0.02
F (0.5000, 0.0000, 0.0000)  0.00

Output
DOS at the Fermi energy in states/eV/f.u.: 4.5

***

#B
## ZrSF3 (PBE-GGA)

Data for a relaxed ZrSF3 crystal.

Unit cell a=4.2408 b=4.2408 c=4.2408 alpha=90.00 beta=90.00 gamma=90.00
Each line ends with the local moment (μB).
Element x y z (fractional)
S (0.5000, 0.5000, 0.5000)  0.68
Zr (0.0000, 0.0000, 0.0000)  -0.20
F (0.0000, 0.5000, 0.0000)  0.03
F (0.0000, 0.0000, 0.5000)  0.02
F (0.5000, 0.0000, 0.0000)  0.05

Output
DOS at the Fermi energy in states/eV/f.u.: 6.3

***

Name the least stable of them. #A.

***

#A
## Zr2SF (PBE-GGA)

Data for a relaxed Zr2SF crystal.

Unit cell a=6.6341 b=6.6341 c=5.6131 alpha=53.78 beta=53.78 gamma=90.00
Element x y z (fractional)
S (0.0000, 0.0000, 0.0000)
S (0.7500, 0.2500, 0.5000)
Zr (0.5828, 0.1250, 0.2500)
Zr (0.1672, 0.6250, 0.2500)
Zr (0.3750, 0.4172, 0.7500)
Zr (0.8750, 0.8328, 0.7500)
F (0.5000, 0.5000, 0.0000)
F (0.2500, 0.7500, 0.5000)

Output
DOS at the Fermi energy in states/eV/f.u.: 4.6

***

#B
## Zr2SF (PBE-GGA)

Data for a relaxed Zr2SF crystal.

Unit cell a=4.4465 b=4.4465 c=4.4465 alpha=60.00 beta=60.00 gamma=60.00
Element x y z (fractional)
S (0.5000, 0.5000, 0.5000)
Zr (0.2500, 0.2500, 0.2500)
Zr (0.7500, 0.7500, 0.7500)
F (0.0000, 0.0000, 0.0000)

Output
DOS at the Fermi energy in states/eV/f.u.: 1.8

***

Name the least stable of them. #A.

***

#A
## SbF (PBE-GGA)

Data for a relaxed SbF crystal.

Unit cell a=8.4552 b=8.4552 c=4.2599 alpha=90.00 beta=90.00 gamma=120.00
Element x y z (fractional)
Sb (0.8399, 0.6798, 0.2500)
Sb (0.1601, 0.8399, 0.7500)
Sb (0.3202, 0.1601, 0.2500)
Sb (0.1601, 0.3202, 0.7500)
Sb (0.8399, 0.1601, 0.2500)
Sb (0.6798, 0.8399, 0.7500)
F (0.5610, 0.1220, 0.2500)
F (0.4390, 0.5610, 0.7500)
F (0.8780, 0.4390, 0.2500)
F (0.4390, 0.8780, 0.7500)
F (0.5610, 0.4390, 0.2500)
F (0.1220, 0.5610, 0.7500)

Output
DOS at the Fermi energy in states/eV/f.u.: 0.8

***

#B
## SbF (PBE-GGA)

Data for a relaxed SbF crystal.

Unit cell a=8.3962 b=10.1510 c=7.8624 alpha=90.00 beta=90.00 gamma=90.00
Element x y z (fractional)
Sb (0.3213, 0.0000, 0.0000)
Sb (0.6787, 0.0000, 0.0000)
Sb (0.9287, 0.7500, 0.2500)
Sb (0.5713, 0.7500, 0.2500)
Sb (0.3213, 0.5000, 0.5000)
Sb (0.6787, 0.5000, 0.5000)
Sb (0.9287, 0.2500, 0.7500)
Sb (0.5713, 0.2500, 0.7500)
Sb (0.8213, 0.0000, 0.5000)
Sb (0.1787, 0.0000, 0.5000)
Sb (0.4287, 0.7500, 0.7500)
Sb (0.0713, 0.7500, 0.7500)
Sb (0.8213, 0.5000, 0.0000)
Sb (0.1787, 0.5000, 0.0000)
Sb (0.4287, 0.2500, 0.2500)
Sb (0.0713, 0.2500, 0.2500)
F (0.0000, 0.8461, 0.0000)
F (0.0000, 0.1539, 0.0000)
F (0.2500, 0.9039, 0.2500)
F (0.2500, 0.5961, 0.2500)
F (0.0000, 0.3461, 0.5000)
F (0.0000, 0.6539, 0.5000)
F (0.2500, 0.4039, 0.7500)
F (0.2500, 0.0961, 0.7500)
F (0.5000, 0.8461, 0.5000)
F (0.5000, 0.1539, 0.5000)
F (0.7500, 0.9039, 0.7500)
F (0.7500, 0.5961, 0.7500)
F (0.5000, 0.3461, 0.0000)
F (0.5000, 0.6539, 0.0000)
F (0.7500, 0.4039, 0.2500)
F (0.7500, 0.0961, 0.2500)

Output
DOS at the Fermi energy in states/eV/f.u.: 0.1

***

#C
## SbF (PBE-GGA)

Data for a relaxed SbF crystal.

Unit cell a=7.0868 b=7.0868 c=7.0868 alpha=90.00 beta=90.00 gamma=90.00
Element x y z (fractional)
Sb (0.2500, 0.0000, 0.5000)
Sb (0.7500, 0.0000, 0.5000)
Sb (0.0000, 0.5000, 0.2500)
Sb (0.0000, 0.5000, 0.7500)
Sb (0.5000, 0.2500, 0.0000)
Sb (0.5000, 0.7500, 0.0000)
F (0.2500, 0.5000, 0.0000)
F (0.7500, 0.5000, 0.0000)
F (0.5000, 0.0000, 0.2500)
F (0.5000, 0.0000, 0.7500)
F (0.0000, 0.2500, 0.5000)
F (0.0000, 0.7500, 0.5000)

Output
DOS at the Fermi energy in states/eV/f.u.: 1.5

***

#D
## SbF (PBE-GGA)

Data for a relaxed SbF crystal.

Unit cell a=3.3021 b=3.3021 c=8.8440 alpha=90.00 beta=90.00 gamma=120.00
Element x y z (fractional)
Sb (0.3333, 0.6667, 0.6562)
Sb (0.6667, 0.3333, 0.1562)
F (0.3333, 0.6667, 0.4258)
F (0.6667, 0.3333, 0.9258)

Output
DOS at the Fermi energy in states/eV/f.u.: 0.4

***

Name the least stable of them. #C.

***

#A
## SbF (PBE-GGA)

Data for a relaxed SbF crystal.

Unit cell a=10.8649 b=4.7854 c=6.0893 alpha=90.00 beta=90.00 gamma=90.00
Element x y z (fractional)
Sb (0.7436, 0.0381, 0.2421)
Sb (0.7564, 0.9619, 0.7421)
Sb (0.2564, 0.0381, 0.2421)
Sb (0.2436, 0.9619, 0.7421)
Sb (0.0000, 0.7110, 0.6619)
Sb (0.5000, 0.2890, 0.1619)
F (0.7724, 0.3853, 0.7571)
F (0.7276, 0.6147, 0.2571)
F (0.2276, 0.3853, 0.7571)
F (0.2724, 0.6147, 0.2571)
F (0.0000, 0.8114, 0.3418)
F (0.5000, 0.1886, 0.8418)

***

#B
## SbF (PBE-GGA)

Data for a relaxed SbF crystal.

Unit cell a=8.1724 b=5.7419 c=7.2730 alpha=90.00 beta=90.00 gamma=90.00
Element x y z (fractional)
Sb (0.8904, 0.2500, 0.4094)
Sb (0.3904, 0.2500, 0.0906)
Sb (0.1096, 0.7500, 0.5906)
Sb (0.6096, 0.7500, 0.9094)
Sb (0.1181, 0.2500, 0.7404)
Sb (0.6181, 0.2500, 0.7596)
Sb (0.8819, 0.7500, 0.2596)
Sb (0.3819, 0.7500, 0.2404)
F (0.8423, 0.2500, 0.8997)
F (0.3423, 0.2500, 0.6003)
F (0.1577, 0.7500, 0.1003)
F (0.6577, 0.7500, 0.3997)
F (0.1078, 0.2500, 0.2690)
F (0.6078, 0.2500, 0.2310)
F (0.8922, 0.7500, 0.7310)
F (0.3922, 0.7500, 0.7690)

Output
DOS at the Fermi energy in states/eV/f.u.: 0.4

***

Name the least stable of them. #A.

***

#A
## SbF (PBE-GGA)

Data for a relaxed SbF crystal.

Unit cell a=3.1103 b=6.2931 c=7.7035 alpha=34.82 beta=89.13 gamma=59.67
Element x y z (fractional)
Sb (0.2190, 0.6508, 0.3710)
F (0.2193, 0.6506, 0.8711)

Output
DOS at the Fermi energy in states/eV/f.u.: 0.7

***

#B
## SbF (PBE-GGA)

Data for a relaxed SbF crystal.

Unit cell a=10.0726 b=10.0726 c=3.4727 alpha=90.00 beta=90.00 gamma=90.00
Element x y z (fractional)
Sb (0.3123, 0.0000, 0.0000)
Sb (0.6877, 0.0000, 0.0000)
Sb (0.0000, 0.6877, 0.0000)
Sb (0.0000, 0.3123, 0.0000)
Sb (0.8123, 0.5000, 0.5000)
Sb (0.1877, 0.5000, 0.5000)
Sb (0.5000, 0.1877, 0.5000)
Sb (0.5000, 0.8123, 0.5000)
F (0.1456, 0.1456, 0.0000)
F (0.1456, 0.8544, 0.0000)
F (0.8544, 0.1456, 0.0000)
F (0.8544, 0.8544, 0.0000)
F (0.6456, 0.6456, 0.5000)
F (0.6456, 0.3544, 0.5000)
F (0.3544, 0.6456, 0.5000)
F (0.3544, 0.3544, 0.5000)

Output
DOS at the Fermi energy in states/eV/f.u.: 0.7

***

Name the least stable of them. #B.

***

#A
## SbF (PBE-GGA)

Data for a relaxed SbF crystal.

Unit cell a=5.6918 b=5.6918 c=5.6918 alpha=90.00 beta=90.00 gamma=90.00
Element x y z (fractional)
Sb (0.0000, 0.0000, 0.0000)
Sb (0.0000, 0.5000, 0.5000)
Sb (0.5000, 0.0000, 0.5000)
Sb (0.5000, 0.5000, 0.0000)
F (0.2500, 0.2500, 0.2500)
F (0.2500, 0.7500, 0.7500)
F (0.7500, 0.2500, 0.7500)
F (0.7500, 0.7500, 0.2500)

Output
DOS at the Fermi energy in states/eV/f.u.: 0.8

***

#B
## SbF (PBE-GGA)

Data for a relaxed SbF crystal.

Unit cell a=3.2400 b=7.3012 c=11.2913 alpha=90.00 beta=90.00 gamma=90.00
Element x y z (fractional)
Sb (0.0000, 0.8197, 0.8337)
Sb (0.5000, 0.1803, 0.6663)
Sb (0.5000, 0.1803, 0.3337)
Sb (0.0000, 0.8197, 0.1663)
Sb (0.0000, 0.4550, 0.5000)
Sb (0.5000, 0.5450, 0.0000)
F (0.0000, 0.6479, 0.6879)
F (0.5000, 0.3521, 0.8121)
F (0.5000, 0.3521, 0.1879)
F (0.0000, 0.6479, 0.3121)
F (0.0000, 0.9901, 0.0000)
F (0.5000, 0.0099, 0.5000)

Output
DOS at the Fermi energy in states/eV/f.u.: 0.2

***

#C
## SbF (PBE-GGA)

Data for a relaxed SbF crystal.

Unit cell a=5.4031 b=5.4031 c=5.4031 alpha=90.00 beta=90.00 gamma=90.00
Element x y z (fractional)
Sb (0.5000, 0.5000, 0.5000)
Sb (0.5000, 0.0000, 0.0000)
Sb (0.0000, 0.5000, 0.0000)
Sb (0.0000, 0.0000, 0.5000)
F (0.0000, 0.0000, 0.0000)
F (0.0000, 0.5000, 0.5000)
F (0.5000, 0.0000, 0.5000)
F (0.5000, 0.5000, 0.0000)

Output
DOS at the Fermi energy in states/eV/f.u.: 1.0

***

#D
## SbF (PBE-GGA)

Data for a relaxed SbF crystal.

Unit cell a=4.4349 b=4.3644 c=4.7548 alpha=90.00 beta=96.23 gamma=90.00
Element x y z (fractional)
Sb (0.5246, 0.2500, 0.2139)
Sb (0.4754, 0.7500, 0.7861)
F (0.0387, 0.2500, 0.2045)
F (0.9613, 0.7500, 0.7955)

Output
DOS at the Fermi energy in states/eV/f.u.: 0.1

***

Name the least stable of them. #A.

***

#A
## SbF3 (PBE-GGA)

Data for a relaxed SbF3 crystal.

Unit cell a=4.0139 b=4.0139 c=4.0139 alpha=59.85 beta=59.85 gamma=59.85
Element x y z (fractional)
Sb (0.5000, 0.5000, 0.5000)
F (0.0000, 0.0000, 0.0000)
F (0.7503, 0.7503, 0.7503)
F (0.2497, 0.2497, 0.2497)

Output
DOS at the Fermi energy in states/eV/f.u.: 0.0

***

#B
## SbF3 (PBE-GGA)

Data for a relaxed SbF3 crystal.

Unit cell a=3.8108 b=3.8108 c=7.9960 alpha=76.21 beta=76.21 gamma=90.00
Element x y z (fractional)
Sb (0.0000, 0.0000, 0.0000)
Sb (0.7500, 0.2500, 0.5000)
F (0.5000, 0.5000, 0.0000)
F (0.2500, 0.7500, 0.5000)
F (0.6868, 0.1250, 0.2500)
F (0.0632, 0.6250, 0.2500)
F (0.3750, 0.3132, 0.7500)
F (0.8750, 0.9368, 0.7500)

Output
DOS at the Fermi energy in states/eV/f.u.: 0.0

***

Name the least stable of them. #B.